Entry 1:
# LaTm5Zn6

A relaxed LaTm5Zn6 crystal (PBE, Alexandria).

Calculated values
- ΔE_f: -7.59 kcal/mol of atoms
- Calculated total energy: -38.878 eV for the cell shown
- Size of the total moment: 0.00 μB/atom

a b c (Å): 5.0167 7.1455 7.9741
angles (deg): 90.00 71.67 90.00
With the nearest neighbours (Å) after each atom.
Element x y z (fractional)
1 Zn 0.8278 0.7386 0.3445  7 Tm 3.02-3.13, 1 La 3.21
2 Zn 0.8278 0.2614 0.3445  7 Tm 3.02-3.13, 1 La 3.21
3 Zn 0.5000 0.2607 0.0000  6 Tm 3.00-3.17, 2 La 3.12
4 Zn 0.5000 0.7393 0.0000  6 Tm 3.00-3.17, 2 La 3.12
5 Zn 0.1722 0.7386 0.6555  7 Tm 3.02-3.13, 1 La 3.21
6 Zn 0.1722 0.2614 0.6555  7 Tm 3.02-3.13, 1 La 3.21
7 Tm 0.6630 0.5000 0.6740  8 Zn 3.00-3.04
8 Tm 0.3305 0.0000 0.3391  8 Zn 3.04-3.17
9 Tm 0.0000 0.5000 0.0000  8 Zn 3.04-3.12
10 Tm 0.6695 0.0000 0.6609  8 Zn 3.04-3.17
11 Tm 0.3370 0.5000 0.3260  8 Zn 3.00-3.04
12 La 0.0000 0.0000 0.0000  8 Zn 3.12-3.21

---

Entry 2:
# PrScOsAu

A relaxed PrScOsAu crystal (PBE, Alexandria).

Calculated values
- ΔE_f: -7.14 kcal/mol of atoms
- Calculated total energy: -26.857 eV for the cell shown
- Size of the total moment: 0.00 μB/atom

a b c (Å): 4.9292 4.9292 4.9292
angles (deg): 60.00 60.00 60.00
With the nearest neighbours (Å) after each atom.
Element x y z (fractional)
1 Pr 0.7500 0.7500 0.7500  4 Au 3.02, 4 Os 3.02
2 Os 0.0000 0.0000 0.0000  4 Pr 3.02, 4 Sc 3.02
3 Au 0.5000 0.5000 0.5000  4 Sc 3.02, 4 Pr 3.02
4 Sc 0.2500 0.2500 0.2500  4 Os 3.02, 4 Au 3.02

---

Entry 3:
# KRh

A relaxed KRh crystal (PBE, Alexandria).

Calculated values
- ΔE_f: 13.03 kcal/mol of atoms
- Calculated total energy: -58.554 eV for the cell shown
- Distance to the lowest polymorph of the same formula: 196 meV per atom
- Size of the total moment: 0.39 μB/atom

a b c (Å): 12.1897 12.1897 2.9545
angles (deg): 90.00 90.00 90.00
With the nearest neighbours (Å) after each atom.
Element x y z (fractional)
1 K 0.6875 0.6216 0.5000  2 K 2.95
2 K 0.3125 0.3784 0.5000  2 K 2.95
3 K 0.3784 0.6875 0.5000  2 K 2.95
4 K 0.6216 0.3125 0.5000  2 K 2.95
5 K 0.8807 0.1916 0.0000  2 K 2.95, 1 Rh 3.15
6 K 0.1193 0.8084 0.0000  2 K 2.95, 1 Rh 3.15
7 K 0.8084 0.8807 0.0000  2 K 2.95, 1 Rh 3.15
8 K 0.1916 0.1193 0.0000  2 K 2.95, 1 Rh 3.15
9 Rh 0.9019 0.4503 0.5000  7 Rh 2.64-2.95
10 Rh 0.0981 0.5497 0.5000  7 Rh 2.64-2.95
11 Rh 0.5497 0.9019 0.5000  7 Rh 2.64-2.95
12 Rh 0.4503 0.0981 0.5000  7 Rh 2.64-2.95
13 Rh 0.9351 0.6268 0.0000  6 Rh 2.64-2.95
14 Rh 0.0649 0.3732 0.0000  6 Rh 2.64-2.95
15 Rh 0.3732 0.9351 0.0000  6 Rh 2.64-2.95
16 Rh 0.6268 0.0649 0.0000  6 Rh 2.64-2.95

---

Entry 4:
# Cs6Rb2ClO2

A relaxed Cs6Rb2ClO2 crystal (PBE, Alexandria).

Calculated values
- Energy relative to the elements, uncorrected: -864 meV per atom
- Calculated total energy: -28.325 eV for the cell shown
- Size of the total moment: 0.00 μB/atom

a b c (Å): 9.6271 9.6271 10.5100
angles (deg): 62.74 62.74 60.00
With the nearest neighbours (Å) after each atom.
Element x y z (fractional)
1 Cs 0.7423 0.7423 0.2327  1 O 2.70
2 Cs 0.2828 0.7423 0.2327  1 O 2.70
3 Cs 0.7423 0.2828 0.2327  1 O 2.70
4 Cs 0.2577 0.7172 0.7673  1 O 2.70
5 Cs 0.7172 0.2577 0.7673  1 O 2.70
6 Cs 0.2577 0.2577 0.7673  1 O 2.70
7 Rb 0.7190 0.7190 0.8431  1 O 2.59
8 Rb 0.2810 0.2810 0.1569  1 O 2.59
9 Cl 0.0000 0.0000 0.0000  6 Cs 3.65
10 O 0.3778 0.3778 0.8666  1 Rb 2.59, 3 Cs 2.70
11 O 0.6222 0.6222 0.1334  1 Rb 2.59, 3 Cs 2.70

---

Entry 5:
# YMgFe

A relaxed YMgFe crystal (PBE, Alexandria).

Calculated values
- ΔE_f: 3.81 kcal/mol of atoms
- Calculated total energy: -16.026 eV for the cell shown
- Size of the total moment: 0.62 μB/atom

a b c (Å): 6.0241 6.0242 3.3900
angles (deg): 73.65 73.65 32.68
With the nearest neighbours (Å) after each atom.
Element x y z (fractional)
1 Fe 0.0087 0.0087 0.9913  4 Mg 2.78, 4 Y 2.94
2 Mg 0.6363 0.6364 0.3635  4 Fe 2.78, 1 Y 3.11
3 Y 0.3550 0.3549 0.6452  4 Fe 2.94, 1 Mg 3.11

---

Entry 6:
# LiHfC

A relaxed LiHfC crystal (PBE, Alexandria).

Calculated values
- ΔE_f: -5.43 kcal/mol of atoms
- Calculated total energy: -43.595 eV for the cell shown
- Distance to the lowest polymorph of the same formula: 217 meV per atom
- Size of the total moment: 0.00 μB/atom

a b c (Å): 3.3453 3.3453 8.9832
angles (deg): 90.00 90.00 120.00
With the nearest neighbours (Å) after each atom.
Element x y z (fractional)
1 Li 0.0000 0.0000 0.6626  3 Li 2.61
2 Li 0.3333 0.6667 0.4664  3 C 2.12
3 Hf 0.0000 0.0000 0.2472  3 C 2.22
4 Hf 0.3333 0.6667 0.9542  3 C 2.19
5 C 0.6667 0.3333 0.0690  3 Hf 2.19
6 C 0.6667 0.3333 0.3699  3 Li 2.12, 3 Hf 2.22

---

Entry 7:
# TcAs4P

A relaxed TcAs4P crystal (PBE, Alexandria).

Calculated values
- ΔE_f: 22.33 kcal/mol of atoms
- Calculated total energy: -28.563 eV for the cell shown
- Size of the total moment: 0.41 μB/atom

a b c (Å): 5.4277 5.4277 5.4277
angles (deg): 60.00 60.00 60.00
With the nearest neighbours (Å) after each atom.
Element x y z (fractional)
1 Tc 0.0000 0.0000 0.0000  12 As 3.18, 4 P 3.32
2 As 0.8734 0.3755 0.3755  6 As 2.70-2.73
3 As 0.3755 0.3755 0.8734  6 As 2.70-2.73
4 As 0.3755 0.8734 0.3755  6 As 2.70-2.73
5 As 0.3755 0.3755 0.3755  6 As 2.70-2.73
6 P 0.7500 0.7500 0.7500  12 As 3.18, 4 Tc 3.32

---

Entry 8:
# KLa2Au

A relaxed KLa2Au crystal (PBE, Alexandria).

Calculated values
- ΔE_f: 2.90 kcal/mol of atoms
- Calculated total energy: -13.726 eV for the cell shown
- Distance to the lowest polymorph of the same formula: 338 meV per atom
- Size of the total moment: 0.00 μB/atom

a b c (Å): 6.8488 6.8488 3.6534
angles (deg): 76.32 76.32 120.43
With the nearest neighbours (Å) after each atom.
Element x y z (fractional)
1 Au 0.5000 0.0000 0.5000  4 K 3.40-3.62, 4 La 3.48, 2 Au 3.65
2 K 0.0000 0.5000 0.5000  4 Au 3.40-3.62, 4 La 3.48, 2 K 3.65
3 La 0.0000 0.0000 0.0000  6 La 3.40-3.65, 2 Au 3.48, 2 K 3.48
4 La 0.5000 0.5000 0.0000  6 La 3.40-3.65, 2 K 3.48, 2 Au 3.48

---

Entry 9:
# K10Tl7

A relaxed K10Tl7 crystal (PBE, Alexandria).

Calculated values
- ΔE_f: -2.49 kcal/mol of atoms
- Calculated total energy: -117.499 eV for the cell shown
- Size of the total moment: 0.00 μB/atom

a b c (Å): 22.6005 10.1994 13.4972
angles (deg): 87.34 90.00 90.00
With the nearest neighbours (Å) after each atom.
Element x y z (fractional)
1 K 0.9767 0.9501 0.2675  3 Tl 3.73-3.92, 1 K 4.16
2 K 0.0233 0.0499 0.7325  3 Tl 3.73-3.92, 1 K 4.16
3 K 0.4767 0.0499 0.2325  3 Tl 3.73-3.92, 1 K 4.16
4 K 0.5233 0.9501 0.7675  3 Tl 3.73-3.92, 1 K 4.16
5 K 0.2300 0.6995 0.5037  4 Tl 3.57-3.88
6 K 0.7700 0.3005 0.4963  4 Tl 3.57-3.88
7 K 0.7300 0.3005 0.9963  4 Tl 3.57-3.88
8 K 0.2700 0.6995 0.0037  4 Tl 3.57-3.88
9 K 0.7158 0.6787 0.5592  5 Tl 3.62-4.01
10 K 0.2842 0.3213 0.4408  5 Tl 3.62-4.01
11 K 0.2158 0.3213 0.9408  5 Tl 3.62-4.01
12 K 0.7842 0.6787 0.0592  5 Tl 3.62-4.01
13 K 0.1462 0.3594 0.6456  4 Tl 3.70-3.75
14 K 0.8538 0.6406 0.3544  4 Tl 3.70-3.75
15 K 0.6462 0.6406 0.8544  4 Tl 3.70-3.75
16 K 0.3538 0.3594 0.1456  4 Tl 3.70-3.75
17 K 0.3779 0.9859 0.5794  3 Tl 3.59-3.94
18 K 0.6221 0.0141 0.4206  3 Tl 3.59-3.94
19 K 0.8779 0.0141 0.9206  3 Tl 3.59-3.94
20 K 0.1221 0.9859 0.0794  3 Tl 3.59-3.94
21 K 0.0309 0.6899 0.5295  6 Tl 3.71-4.06
22 K 0.9691 0.3101 0.4705  6 Tl 3.71-4.06
23 K 0.5309 0.3101 0.9705  6 Tl 3.71-4.06
24 K 0.4691 0.6899 0.0295  6 Tl 3.71-4.06
25 K 0.1058 0.6612 0.8336  4 Tl 3.70-4.02, 1 K 4.02
26 K 0.8942 0.3388 0.1664  4 Tl 3.70-4.02, 1 K 4.02
27 K 0.6058 0.3388 0.6664  4 Tl 3.70-4.02, 1 K 4.02
28 K 0.3942 0.6612 0.3336  4 Tl 3.70-4.02, 1 K 4.02
29 K 0.2266 0.9592 0.7446  3 Tl 3.71-3.97, 1 K 4.08
30 K 0.7734 0.0408 0.2554  3 Tl 3.71-3.97, 1 K 4.08
31 K 0.7266 0.0408 0.7554  3 Tl 3.71-3.97, 1 K 4.08
32 K 0.2734 0.9592 0.2446  3 Tl 3.71-3.97, 1 K 4.08
33 K 0.9748 0.6879 0.0334  4 Tl 3.51-3.87
34 K 0.0252 0.3121 0.9666  4 Tl 3.51-3.87
35 K 0.4748 0.3121 0.4666  4 Tl 3.51-3.87
36 K 0.5252 0.6879 0.5334  4 Tl 3.51-3.87
37 K 0.8708 0.9264 0.5824  4 Tl 3.64-3.87
38 K 0.1292 0.0736 0.4176  4 Tl 3.64-3.87
39 K 0.3708 0.0736 0.9176  4 Tl 3.64-3.87
40 K 0.6292 0.9264 0.0824  4 Tl 3.64-3.87
41 Tl 0.2589 0.5827 0.7523  4 Tl 3.28-3.35, 2 K 3.57-3.66
42 Tl 0.7411 0.4173 0.2477  4 Tl 3.28-3.35, 2 K 3.57-3.66
43 Tl 0.7589 0.4173 0.7477  4 Tl 3.28-3.35, 2 K 3.57-3.66
44 Tl 0.2411 0.5827 0.2523  4 Tl 3.28-3.35, 2 K 3.57-3.66
45 Tl 0.4928 0.5717 0.7765  4 Tl 3.26-3.35, 1 K 3.51
46 Tl 0.5072 0.4283 0.2235  4 Tl 3.26-3.35, 1 K 3.51
47 Tl 0.9928 0.4283 0.7235  4 Tl 3.26-3.35, 1 K 3.51
48 Tl 0.0072 0.5717 0.2765  4 Tl 3.26-3.35, 1 K 3.51
49 Tl 0.9484 0.7261 0.7752  4 Tl 3.28-3.41, 1 K 3.54
50 Tl 0.0516 0.2739 0.2248  4 Tl 3.28-3.41, 1 K 3.54
51 Tl 0.4484 0.2739 0.7248  4 Tl 3.28-3.41, 1 K 3.54
52 Tl 0.5516 0.7261 0.2752  4 Tl 3.28-3.41, 1 K 3.54
53 Tl 0.3037 0.2786 0.7065  4 Tl 3.28-3.35, 1 K 3.62
54 Tl 0.6963 0.7214 0.2935  4 Tl 3.28-3.35, 1 K 3.62
55 Tl 0.8037 0.7214 0.7935  4 Tl 3.28-3.35, 1 K 3.62
56 Tl 0.1963 0.2786 0.2065  4 Tl 3.28-3.35, 1 K 3.62
57 Tl 0.3788 0.5425 0.6207  6 Tl 3.28-3.53
58 Tl 0.6212 0.4575 0.3793  6 Tl 3.28-3.53
59 Tl 0.8788 0.4575 0.8793  6 Tl 3.28-3.53
60 Tl 0.1212 0.5425 0.1207  6 Tl 3.28-3.53
61 Tl 0.3718 0.4515 0.8763  6 Tl 3.26-3.53
62 Tl 0.6282 0.5485 0.1237  6 Tl 3.26-3.53
63 Tl 0.8718 0.5485 0.6237  6 Tl 3.26-3.53
64 Tl 0.1282 0.4515 0.3763  6 Tl 3.26-3.53
65 Tl 0.3765 0.7641 0.7941  4 Tl 3.30-3.33, 2 K 3.59-3.64
66 Tl 0.6235 0.2359 0.2059  4 Tl 3.30-3.33, 2 K 3.59-3.64
67 Tl 0.8765 0.2359 0.7059  4 Tl 3.30-3.33, 2 K 3.59-3.64
68 Tl 0.1235 0.7641 0.2941  4 Tl 3.30-3.33, 2 K 3.59-3.64